Density functional theory data (PBE) for a geometry-optimized Y4CoAu structure.

Its formation energy is 4.085 eV/f.u. Its energy above the most stable polymorph in this dataset is 598 kJ/mol of formula units. Its raw total energy is -5.359 eV/atom.

The structure belongs to space group F-43m (No. 216); the cell edges are 8.5714, 8.5714 and 8.5714 Å and the angles 90.00°, 90.00° and 90.00°. The asymmetric unit holds Y at (0.1250, 0.1250, 0.1250), Co at (0.0000, 0.0000, 0.5000) and Au at (0.2500, 0.2500, 0.7500).


Density functional theory data (PBE) for a geometry-optimized YCoAu structure.

Its formation energy is -1.291 eV/f.u. Its raw total energy is -6.046 eV/atom.

The structure belongs to space group C2/m (No. 12); the cell edges are 12.3597, 3.9492 and 4.9123 Å and the angles 90.00°, 101.72° and 90.00°. The asymmetric unit holds Y at (0.1198, 0.0000, 0.3192), Co at (0.2296, 0.0000, 0.8925) and Au at (0.0789, 0.5000, 0.7703).


Density functional theory data (PBE) for a geometry-optimized YCo2Au2 structure.

Its formation energy is -0.653 eV/f.u. Its energy above the most stable polymorph in this dataset is 10 kJ/mol of formula units. Its raw total energy is -5.577 eV/atom.

The structure belongs to space group I4/mmm (No. 139); the cell edges are 3.7103, 3.7103 and 13.1987 Å and the angles 90.00°, 90.00° and 90.00°. The asymmetric unit holds Y at (0.0000, 0.0000, 0.0000), Co at (0.0000, 0.5000, 0.2500) and Au at (0.0000, 0.0000, 0.3925).


Density functional theory data (PBE) for a geometry-optimized Y8CoAu2 structure.

Its formation energy is -3.331 eV/f.u. Its raw total energy is -6.246 eV/atom.

The structure belongs to space group Cm (No. 8); the cell edges are 7.3645, 16.1415 and 5.9634 Å and the angles 90.00°, 121.73° and 90.00°. The asymmetric unit holds Y at (0.0000, 0.0000, 0.0000), Y at (0.9997, 0.1130, 0.4855), Y at (0.2343, 0.3024, 0.8105), Y at (0.4600, 0.1156, 0.1516), Y at (0.4688, 0.0000, 0.6678), Co at (0.2245, 0.5000, 0.5013) and Au at (0.2257, 0.2252, 0.3083).


Density functional theory data (PBE) for a geometry-optimized YCoAu structure.

Its formation energy is -0.683 eV/f.u. Its raw total energy is -5.843 eV/atom.

The structure belongs to space group I4mm (No. 107); the cell edges are 3.5138, 3.5138 and 9.2883 Å and the angles 90.00°, 90.00° and 90.00°. The asymmetric unit holds Y at (0.0000, 0.0000, 0.0000), Co at (0.0000, 0.0000, 0.3301) and Au at (0.0000, 0.0000, 0.6847).


Density functional theory data (PBE) for a geometry-optimized Y2CoAu2 structure.

Its formation energy is -1.949 eV/f.u. Its raw total energy is -5.708 eV/atom.

The structure belongs to space group P4/mbm (No. 127); the cell edges are 7.3373, 7.3373 and 4.1026 Å and the angles 90.00°, 90.00° and 90.00°. The asymmetric unit holds Y at (0.1727, 0.3273, 0.0000), Co at (0.0000, 0.0000, 0.5000) and Au at (0.1361, 0.6361, 0.5000).


Density functional theory data (PBE) for a geometry-optimized YCo3Au structure.

Its formation energy is 4.367 eV/f.u. Its energy above the most stable polymorph in this dataset is 0 kJ/mol of formula units. Its raw total energy is -5.338 eV/atom.

The structure belongs to space group Pm-3m (No. 221); the cell edges are 4.6943, 4.6943 and 4.6943 Å and the angles 90.00°, 90.00° and 90.00°. The asymmetric unit holds Y at (0.0000, 0.0000, 0.0000), Co at (0.0000, 0.5000, 0.5000) and Au at (0.5000, 0.5000, 0.5000).


Density functional theory data (PBE) for a geometry-optimized Y12CoAu6 structure.

Its formation energy is -8.623 eV/f.u. Its raw total energy is -5.945 eV/atom.

The structure belongs to space group R-3 (No. 148, hexagonal axes); the cell edges are 12.5364, 12.5364 and 12.1355 Å and the angles 90.00°, 90.00° and 120.00°. The asymmetric unit holds Y at (0.0304, 0.8205, 0.3956), Y at (0.0524, 0.8571, 0.8826), Co at (0.0000, 0.0000, 0.0000) and Au at (0.0487, 0.7738, 0.6445).


What is the raw total energy in the first record?
-5.359 eV/atom


What is the formula in the second record?
YCoAu


Look up the raw total energy of the seventh one.
-5.338 eV/atom